Density functional theory data (PBE with a Hubbard U) for an optimized crystal structure of NbCrInO6.

Geometry as POSCAR:
```
NbCrInO6
1.0
-0.520 -2.172 4.659
-1.757 -2.444 -4.200
7.928 -4.008 -0.984
Nb Cr In O
2 2 2 12
Cartesian
0.000 0.000 0.000
3.964 -2.004 -0.492
1.050 -3.264 1.460
4.602 -5.359 -1.984
0.638 -3.355 -1.493
5.014 -5.269 0.969
-0.514 -3.611 0.337
-0.045 -3.357 3.078
3.107 -5.540 -3.232
5.697 -5.266 -3.602
2.244 -2.999 -0.066
1.309 -5.201 1.373
4.891 -7.289 -1.855
2.545 -3.083 2.708
4.343 -3.423 -1.897
0.761 -1.334 1.331
3.408 -5.625 -0.458
6.165 -5.012 -0.862
```

Calculated values
ρ: 5.72 g/cm3
Space-group type: P-31c, No. 163
Uncorrected energy: -7.407 eV/atom